This record from Alexandria describes crystalline Nd8NiOs2 at its relaxed geometry. The functional is GGA-PBE.

Geometry as CIF:
```
data_Nd8NiOs2
_cell_length_a 8.529
_cell_length_b 12.776
_cell_length_c 6.315
_cell_angle_alpha 90.00
_cell_angle_beta 110.40
_cell_angle_gamma 90.00
_space_group_name_H-M_alt 'C 1 m 1'
_space_group_IT_number 8
loop_
_space_group_symop_operation_xyz
'x,y,z'
'x,-y,z'
'x+1/2,y+1/2,z'
'x+1/2,-y+1/2,z'
loop_
_atom_site_label
_atom_site_type_symbol
_atom_site_fract_x
_atom_site_fract_y
_atom_site_fract_z
Nd1 Nd 0.000 0.000 0.000
Nd2 Nd 0.069 0.368 0.819
Nd3 Nd 0.141 0.133 0.590
Nd4 Nd 0.215 0.500 0.401
Nd5 Nd 0.361 0.204 0.195
Ni1 Ni 0.353 0.000 0.009
Os1 Os 0.354 0.311 0.704
```

Properties
Total energy (eV per cell): -133.21
Volume (A^3/atom): 29.316
Formation enthalpy at 0 K (eV per atom): -0.0199
Fermi-level density of states (states/eV per cell): 22.8
Density (g cm⁻³): 8.20


This record from Alexandria describes crystalline NdNi2Os at its relaxed geometry. The functional is GGA-PBE.

Geometry as CIF:
```
data_NdNi2Os
_cell_length_a 4.1839
_cell_length_b 4.1839
_cell_length_c 14.4551
_cell_angle_alpha 90.00
_cell_angle_beta 90.00
_cell_angle_gamma 120.00
_space_group_name_H-M_alt 'R -3 m'
_space_group_IT_number 166
_space_group_name_Hall '-R 3 2"'
loop_
_atom_site_label
_atom_site_type_symbol
_atom_site_fract_x
_atom_site_fract_y
_atom_site_fract_z
Nd1 Nd 0.0000 0.0000 0.0000
Ni1 Ni 0.0000 0.0000 0.1939
Os1 Os 0.0000 0.0000 0.5000
```

Properties
Total energy (eV per cell): -84.01
Volume (A^3/atom): 18.262
Formation enthalpy at 0 K (eV per atom): -0.1108
Fermi-level density of states (states/eV per cell): 12.5
Density (g cm⁻³): 10.27


This record from Alexandria describes crystalline Nd8Ni2Os at its relaxed geometry. The functional is GGA-PBE.

Geometry as CIF:
```
data_Nd8Ni2Os
_cell_length_a 8.431
_cell_length_b 12.633
_cell_length_c 6.480
_cell_angle_alpha 90.00
_cell_angle_beta 111.08
_cell_angle_gamma 90.00
_space_group_name_H-M_alt 'C 1 m 1'
_space_group_IT_number 8
loop_
_space_group_symop_operation_xyz
'x,y,z'
'x,-y,z'
'x+1/2,y+1/2,z'
'x+1/2,-y+1/2,z'
loop_
_atom_site_label
_atom_site_type_symbol
_atom_site_fract_x
_atom_site_fract_y
_atom_site_fract_z
Nd1 Nd 0.000 0.000 0.000
Nd2 Nd 0.073 0.365 0.795
Nd3 Nd 0.140 0.135 0.557
Nd4 Nd 0.210 0.500 0.384
Nd5 Nd 0.350 0.196 0.182
Ni1 Ni 0.362 0.315 0.692
Os1 Os 0.358 0.000 0.397
```

Properties
Total energy (eV per cell): -122.58
Volume (A^3/atom): 29.272
Formation enthalpy at 0 K (eV per atom): -0.0324
Relative energy among the computed polymorphs (eV per atom): 0.064
Fermi-level density of states (states/eV per cell): 23.4
Density (g cm⁻³): 7.54


This record from Alexandria describes crystalline NdNiOs at its relaxed geometry. The functional is GGA-PBE.

Geometry as CIF:
```
data_NdNiOs
_cell_length_a 5.106
_cell_length_b 5.399
_cell_length_c 7.748
_cell_angle_alpha 90.00
_cell_angle_beta 90.00
_cell_angle_gamma 90.00
_space_group_name_H-M_alt 'I m m a'
_space_group_IT_number 74
_space_group_name_Hall '-I 2b 2'
loop_
_atom_site_label
_atom_site_type_symbol
_atom_site_fract_x
_atom_site_fract_y
_atom_site_fract_z
Nd1 Nd 0.000 0.250 0.121
Ni1 Ni 0.000 0.000 0.500
Os1 Os 0.250 0.250 0.750
```

Properties
Total energy (eV per cell): -89.77
Volume (A^3/atom): 17.801
Formation enthalpy at 0 K (eV per atom): -0.2210
Relative energy among the computed polymorphs (eV per atom): 0.000
Fermi-level density of states (states/eV per cell): 10.0
Density (g cm⁻³): 12.23


This record from Alexandria describes crystalline NdPaNiOs at its relaxed geometry. The functional is GGA-PBE.

Geometry as CIF:
```
data_NdPaNiOs
_cell_length_a 6.912
_cell_length_b 6.912
_cell_length_c 6.912
_cell_angle_alpha 90.00
_cell_angle_beta 90.00
_cell_angle_gamma 90.00
_space_group_name_H-M_alt 'F -4 3 m'
_space_group_IT_number 216
_space_group_name_Hall 'F -4 2 3'
loop_
_atom_site_label
_atom_site_type_symbol
_atom_site_fract_x
_atom_site_fract_y
_atom_site_fract_z
Nd1 Nd 0.000 0.000 0.000
Pa1 Pa 0.000 0.000 0.500
Ni1 Ni 0.250 0.250 0.750
Os1 Os 0.250 0.250 0.250
```

Properties
Total energy (eV per cell): -126.63
Volume (A^3/atom): 20.637
Formation enthalpy at 0 K (eV per atom): -0.0956
Fermi-level density of states (states/eV per cell): 26.6
Density (g cm⁻³): 12.56


This record from Alexandria describes crystalline PmNdNiOs at its relaxed geometry. The functional is GGA-PBE.

Geometry as CIF:
```
data_PmNdNiOs
_cell_length_a 7.004
_cell_length_b 7.004
_cell_length_c 7.004
_cell_angle_alpha 90.00
_cell_angle_beta 90.00
_cell_angle_gamma 90.00
_space_group_name_H-M_alt 'F -4 3 m'
_space_group_IT_number 216
_space_group_name_Hall 'F -4 2 3'
loop_
_atom_site_label
_atom_site_type_symbol
_atom_site_fract_x
_atom_site_fract_y
_atom_site_fract_z
Pm1 Pm 0.000 0.000 0.000
Nd1 Nd 0.000 0.000 0.500
Ni1 Ni 0.250 0.250 0.250
Os1 Os 0.250 0.250 0.750
```

Properties
Total energy (eV per cell): -107.43
Volume (A^3/atom): 21.472
Formation enthalpy at 0 K (eV per atom): -0.0822
Fermi-level density of states (states/eV per cell): 14.8
Density (g cm⁻³): 10.40


This record from Alexandria describes crystalline PrNdNiOs at its relaxed geometry. The functional is GGA-PBE.

Geometry as CIF:
```
data_PrNdNiOs
_cell_length_a 7.056
_cell_length_b 7.056
_cell_length_c 7.056
_cell_angle_alpha 90.00
_cell_angle_beta 90.00
_cell_angle_gamma 90.00
_space_group_name_H-M_alt 'F -4 3 m'
_space_group_IT_number 216
_space_group_name_Hall 'F -4 2 3'
loop_
_atom_site_label
_atom_site_type_symbol
_atom_site_fract_x
_atom_site_fract_y
_atom_site_fract_z
Pr1 Pr 0.000 0.000 0.000
Nd1 Nd 0.000 0.000 0.500
Ni1 Ni 0.250 0.250 0.750
Os1 Os 0.250 0.250 0.250
```

Properties
Total energy (eV per cell): -106.76
Volume (A^3/atom): 21.957
Formation enthalpy at 0 K (eV per atom): -0.0329
Fermi-level density of states (states/eV per cell): 16.7
Density (g cm⁻³): 10.10


This record from Alexandria describes crystalline NdPuNiOs at its relaxed geometry. The functional is GGA-PBE.

Geometry as CIF:
```
data_NdPuNiOs
_cell_length_a 6.888
_cell_length_b 6.888
_cell_length_c 6.888
_cell_angle_alpha 90.00
_cell_angle_beta 90.00
_cell_angle_gamma 90.00
_space_group_name_H-M_alt 'F -4 3 m'
_space_group_IT_number 216
_space_group_name_Hall 'F -4 2 3'
loop_
_atom_site_label
_atom_site_type_symbol
_atom_site_fract_x
_atom_site_fract_y
_atom_site_fract_z
Nd1 Nd 0.000 0.000 0.000
Pu1 Pu 0.000 0.000 0.500
Ni1 Ni 0.250 0.250 0.250
Os1 Os 0.250 0.250 0.750
```

Properties
Total energy (eV per cell): -144.31
Volume (A^3/atom): 20.424
Formation enthalpy at 0 K (eV per atom): 0.0084
Fermi-level density of states (states/eV per cell): 36.6
Density (g cm⁻³): 12.95